## Tl4SIF (PBE)

Data for Tl4SIF after structural relaxation.

Cell: 6.6577 7.1695 10.1606 Å, 90.00 105.52 90.00°
Space group P2_1/m (No. 11)
Inequivalent atoms, fractional coordinates:
Tl (0.1109, 0.0068, 0.2113) [4 per cell]
Tl (0.2981, 0.2500, 0.6053) [2 per cell]
Tl (0.3827, 0.7500, 0.9428) [2 per cell]
S (0.1810, 0.2500, 0.9812) [2 per cell]
I (0.3410, 0.7500, 0.5786) [2 per cell]
F (0.3807, 0.7500, 0.1975) [2 per cell]

Output
- calculated total energy (eV/atom) = -3.232
- density of states at the Fermi level (states/eV per cell) = 0.00
- raw formation energy (kJ/mol of atoms) = -77.32